Entry 1:
A plane-wave DFT calculation with PBE was carried out for a relaxed NdPaBi2O8 crystal.

Values from the calculation:
E_tot ... -7.2563 eV/atom

POSCAR file:
```
NdPaBi2O8
1.0
-3.7113 3.7113 3.7015
3.7113 -3.7113 3.7015
3.7113 3.7113 -3.7015
Nd Pa Bi O
1 1 2 8
Cartesian
0.0000 0.0000 0.0000
3.7113 0.0000 1.8508
0.0000 0.0000 3.7015
0.0000 3.7113 1.8508
2.1694 3.7113 -1.6036
1.5419 0.0000 2.0980
0.0000 2.3563 0.3151
3.7113 2.1694 1.6036
0.0000 5.0663 0.3151
0.0000 1.5419 5.3051
-1.3550 3.7113 3.3864
1.3550 3.7113 3.3864
```


Entry 2:
A plane-wave DFT calculation with PBE was carried out for a relaxed Zr2Sc2Cd crystal.

Values from the calculation:
Offset from the most stable computed form ... 0.0 kJ per mole of atoms
DFT formation energy ... -104 meV/atom

POSCAR file:
```
Zr2Sc2Cd
1.0
8.2070 -2.2038 0.0000
8.2070 2.2038 0.0000
-0.6343 0.0000 3.1913
Zr Sc Cd
2 2 1
Cartesian
3.2610 0.0000 0.6619
12.5188 0.0000 2.5294
6.3164 0.0000 1.2736
9.4634 0.0000 1.9177
0.0000 0.0000 0.0000
```


Entry 3:
A plane-wave DFT calculation with PBE was carried out for a relaxed K3SnGe crystal.

Values from the calculation:
Offset from the most stable computed form ... 59.1 kJ per mole of atoms
DFT formation energy ... 428 meV/atom

POSCAR file:
```
K3SnGe
1.0
6.3874 0.0000 0.0000
0.0000 6.3874 0.0000
0.0000 0.0000 6.3874
K Sn Ge
3 1 1
Cartesian
0.0000 0.0000 3.1937
0.0000 3.1937 0.0000
3.1937 0.0000 0.0000
3.1937 3.1937 3.1937
0.0000 0.0000 0.0000
```


Entry 4:
A plane-wave DFT calculation with PBE was carried out for a relaxed KSr2ZnRh crystal.

Values from the calculation:
DFT formation energy ... -76 meV/atom

POSCAR file:
```
KSr2ZnRh
1.0
5.8510 0.0000 0.0000
0.0000 5.8510 0.0000
0.0000 0.0000 5.1645
K Sr Zn Rh
1 2 1 1
Cartesian
0.0000 0.0000 0.0000
0.0000 2.9255 2.5822
2.9255 0.0000 2.5822
2.9255 2.9255 0.0000
2.9255 2.9255 2.5822
```


Number 1: M_tot 0.0 Bohr magnetons per cell. Number 2: M_tot 0.0 Bohr magnetons per cell. Number 3: M_tot 3.4 Bohr magnetons per cell. Number 4: M_tot 0.0 Bohr magnetons per cell.